Here is a relaxed structure of CrRu2Br from the Alexandria database. Energies are from GGA-PBE.

Cell and atoms, written as extended XYZ:
```
4
Lattice="-2.559 1.309 0.660 -0.802 -0.129 -2.856 -3.530 -6.771 -0.260" Properties=species:S:1:pos:R:3 pbc="T T T"
Cr -4.533 -4.627 -1.812
Ru -0.074 -0.059 -0.171
Ru -2.401 -0.855 -1.026
Br -2.049 -3.500 -1.005
```

For the magnetization, the calculation gives 0.845 μB/atom. The distance to the lowest polymorph of the same formula comes out at 0.000 eV/atom. As for the space-group type: Pm. The calculation puts the formation energy from raw total energies at 0.515 eV per atom.